1.
First-principles (PBE) data for Tb9PrNd2 after structural relaxation, as listed in Alexandria.

For the volume, the calculation gives 395.3 Å³/f.u. As for the excess energy over the best structure of this formula in the dataset: 34 meV per atom. As for the magnetization: 0.0 μB per formula unit. As for the density of states at the Fermi level: 1.40 states/eV/atom.

The structure in POSCAR format:
```
Tb9PrNd2
1.0
3.530 0.000 0.000
0.000 11.372 0.000
0.000 -5.686 9.848
Tb Pr Nd
9 1 2
Direct
0.000 0.500 0.500
0.500 0.351 0.175
0.500 0.825 0.175
0.000 0.000 0.500
0.500 0.825 0.649
0.500 0.649 0.825
0.000 0.500 0.000
0.500 0.175 0.351
0.500 0.175 0.825
0.000 0.000 0.000
0.000 0.667 0.333
0.000 0.333 0.667
```

***

2.
First-principles (PBE) data for Y5Pt after structural relaxation, as listed in Alexandria.

For the volume, the calculation gives 168.4 Å³/f.u. As for the excess energy over the best structure of this formula in the dataset: 142 meV per atom. As for the magnetization: 0.0 μB per formula unit. As for the density of states at the Fermi level: 1.14 states/eV/atom.

The structure in POSCAR format:
```
Y5Pt
1.0
1.601 4.941 -6.653
-4.723 -5.343 4.514
-2.277 4.160 2.542
Y Pt
5 1
Direct
0.462 0.538 0.500
0.346 0.654 0.000
0.783 0.217 0.500
0.114 0.886 0.500
0.635 0.365 0.000
0.994 0.006 0.000
```

***

3.
First-principles (PBE) data for AlAgO2 after structural relaxation, as listed in Alexandria.

For the volume, the calculation gives 44.6 Å³/f.u. As for the magnetization: 0.0 μB per formula unit. As for the uncorrected formation energy: -1873 meV/atom.

The structure in POSCAR format:
```
AlAgO2
1.0
-2.256 -3.487 4.811
-1.387 -5.483 2.900
0.534 -4.258 4.688
Al Ag O
1 1 2
Direct
0.002 0.002 0.002
0.839 0.839 0.839
0.720 0.720 0.720
0.280 0.280 0.280
```

***

4.
First-principles (PBE) data for TaRhW2 after structural relaxation, as listed in Alexandria.

For the volume, the calculation gives 65.1 Å³/f.u. As for the excess energy over the best structure of this formula in the dataset: 212 meV per atom. As for the magnetization: 0.0 μB per formula unit. As for the density of states at the Fermi level: 1.06 states/eV/atom.

The structure in POSCAR format:
```
TaRhW2
1.0
2.756 -4.301 0.000
2.756 4.301 0.000
0.000 0.000 2.744
W Ta Rh
2 1 1
Direct
0.500 0.000 0.000
0.000 0.500 0.000
0.500 0.500 0.500
0.000 0.000 0.500
```